one.
This record from Alexandria describes a geometry-optimized RbRe3N structure. The functional is GGA-PBE.

Cell and atoms, written as CIF:
```
data_RbRe3N
_chemical_formula_sum 'Rb1 Re3 N1'
_cell_length_a 4.666
_cell_length_b 4.666
_cell_length_c 4.666
_cell_angle_alpha 90.00
_cell_angle_beta 90.00
_cell_angle_gamma 90.00
_symmetry_space_group_name_H-M 'P m -3 m'
_symmetry_Int_Tables_number 221
_symmetry_space_group_name_Hall '-P 4 2 3'
loop_
_atom_site_label
_atom_site_type_symbol
_atom_site_fract_x
_atom_site_fract_y
_atom_site_fract_z
Rb1 Rb 0.000 0.000 0.000
Re1 Re 0.000 0.000 0.500
N1 N 0.500 0.500 0.500
```

Calculated volume ... 102 Å³ per cell
Magnetic moment ... 0.00 Bohr magnetons per cell

=====

two.
This record from Alexandria describes a geometry-optimized RbRe3N structure. The functional is GGA-PBE.

Cell and atoms, written as CIF:
```
data_RbRe3N
_chemical_formula_sum 'Rb1 Re3 N1'
_cell_length_a 4.296
_cell_length_b 4.296
_cell_length_c 4.296
_cell_angle_alpha 90.00
_cell_angle_beta 90.00
_cell_angle_gamma 90.00
_symmetry_space_group_name_H-M 'P m -3 m'
_symmetry_Int_Tables_number 221
_symmetry_space_group_name_Hall '-P 4 2 3'
loop_
_atom_site_label
_atom_site_type_symbol
_atom_site_fract_x
_atom_site_fract_y
_atom_site_fract_z
Rb1 Rb 0.000 0.000 0.000
Re1 Re 0.000 0.500 0.500
N1 N 0.500 0.500 0.500
```

Calculated volume ... 79 Å³ per cell
Magnetic moment ... 2.05 Bohr magnetons per cell

=====

two ends up most stable, edging out the next structure by 3.687 eV/atom.

=====

one.
This record from Alexandria describes a geometry-optimized RbReS2N structure. The functional is GGA-PBE.

Cell and atoms, written as CIF:
```
data_RbReS2N
_chemical_formula_sum 'Rb1 Re1 S2 N1'
_cell_length_a 4.922
_cell_length_b 4.922
_cell_length_c 3.852
_cell_angle_alpha 90.00
_cell_angle_beta 90.00
_cell_angle_gamma 90.00
_symmetry_space_group_name_H-M 'P 4/m m m'
_symmetry_Int_Tables_number 123
_symmetry_space_group_name_Hall '-P 4 2'
loop_
_atom_site_label
_atom_site_type_symbol
_atom_site_fract_x
_atom_site_fract_y
_atom_site_fract_z
Rb1 Rb 0.000 0.000 0.000
Re1 Re 0.500 0.500 0.500
S1 S 0.000 0.500 0.500
N1 N 0.500 0.500 0.000
```

Calculated volume ... 93 Å³ per cell
Magnetic moment ... 0.00 Bohr magnetons per cell

=====

two.
This record from Alexandria describes a geometry-optimized RbReS2N structure. The functional is GGA-PBE.

Cell and atoms, written as CIF:
```
data_RbReS2N
_chemical_formula_sum 'Rb1 Re1 S2 N1'
_cell_length_a 5.226
_cell_length_b 5.226
_cell_length_c 3.994
_cell_angle_alpha 90.00
_cell_angle_beta 90.00
_cell_angle_gamma 90.00
_symmetry_space_group_name_H-M 'P 4/m m m'
_symmetry_Int_Tables_number 123
_symmetry_space_group_name_Hall '-P 4 2'
loop_
_atom_site_label
_atom_site_type_symbol
_atom_site_fract_x
_atom_site_fract_y
_atom_site_fract_z
Rb1 Rb 0.000 0.000 0.000
Re1 Re 0.500 0.500 0.500
S1 S 0.000 0.500 0.000
N1 N 0.000 0.000 0.500
```

Calculated volume ... 109 Å³ per cell
Magnetic moment ... 0.30 Bohr magnetons per cell

=====

one ends up most stable, edging out the next structure by 3.293 eV/atom.